# 1
Material: LiNd2CuRh2
Method: DFT, PBE
State: optimized geometry

## Properties
uncorrected energy: -5.506 eV/atom
space group: Ibam, No. 72
crystal system: orthorhombic
density: 7.87 g/cm³

a b c (Å): 5.727 5.712 8.336
angles (deg): 110.04 110.09 90.00
Positions (direct):
Li  0.000  0.750  0.000
Li  0.000  0.250  0.000
Nd  0.423  0.166  0.333
Nd  0.577  0.834  0.667
Nd  0.090  0.334  0.667
Nd  0.910  0.666  0.333
Cu  0.500  0.750  0.000
Cu  0.500  0.250  0.000
Rh  0.875  0.123  0.246
Rh  0.371  0.623  0.246
Rh  0.629  0.377  0.754
Rh  0.125  0.877  0.754


# 2
Material: Li3Nd2Cu12Rh
Method: DFT, PBE
State: optimized geometry

## Properties
uncorrected energy: -3.880 eV/atom
space group: R-3m, No. 166
crystal system: trigonal
density: 6.82 g/cm³

a b c (Å): 10.346 10.346 10.346
angles (deg): 32.62 32.62 32.62
Positions (direct):
Li  0.500  0.000  0.000
Li  0.000  0.500  0.000
Li  0.000  0.000  0.500
Nd  0.645  0.645  0.645
Nd  0.355  0.355  0.355
Cu  0.413  0.413  0.820
Cu  0.918  0.918  0.370
Cu  0.370  0.918  0.918
Cu  0.820  0.413  0.413
Cu  0.918  0.370  0.918
Cu  0.413  0.820  0.413
Cu  0.587  0.587  0.180
Cu  0.082  0.082  0.630
Cu  0.630  0.082  0.082
Cu  0.180  0.587  0.587
Cu  0.082  0.630  0.082
Cu  0.587  0.180  0.587
Rh  0.000  0.000  0.000


# 3
Material: Li2NdCu2Sb2
Method: DFT, PBE
State: optimized geometry

## Properties
space group: R-3m, No. 166
crystal system: trigonal
formation energy from raw total energies: -55.0 kJ/mol of atoms
density: 6.09 g/cm³

a b c (Å): 4.432 4.432 8.852
angles (deg): 75.50 75.50 60.00
Positions (direct):
Li  0.137  0.137  0.589
Li  0.863  0.863  0.411
Nd  0.000  0.000  0.000
Cu  0.589  0.589  0.233
Cu  0.411  0.411  0.767
Sb  0.750  0.750  0.749
Sb  0.250  0.250  0.251


# 4
Material: LiNdScCu
Method: DFT, PBE
State: optimized geometry

## Properties
uncorrected energy: -4.265 eV/atom
space group: F-43m, No. 216
crystal system: cubic
density: 4.97 g/cm³

a b c (Å): 4.970 4.970 4.970
angles (deg): 60.00 60.00 60.00
Positions (direct):
Sc  0.500  0.500  0.500
Nd  0.000  0.000  0.000
Cu  0.250  0.250  0.250
Li  0.750  0.750  0.750


# 5
Material: Li3Nd2Cu12Si
Method: DFT, PBE
State: optimized geometry

## Properties
space group: R-3m, No. 166
crystal system: trigonal
formation energy from raw total energies: 20.6 kJ/mol of atoms
density: 5.33 g/cm³

a b c (Å): 7.419 7.419 7.419
angles (deg): 68.90 68.90 68.90
Positions (direct):
Li  0.500  0.000  0.000
Li  0.000  0.500  0.000
Li  0.000  0.000  0.500
Nd  0.598  0.598  0.598
Nd  0.402  0.402  0.402
Cu  0.389  0.389  0.022
Cu  0.851  0.851  0.332
Cu  0.332  0.851  0.851
Cu  0.022  0.389  0.389
Cu  0.851  0.332  0.851
Cu  0.389  0.022  0.389
Cu  0.611  0.611  0.978
Cu  0.149  0.149  0.668
Cu  0.668  0.149  0.149
Cu  0.978  0.611  0.611
Cu  0.149  0.668  0.149
Cu  0.611  0.978  0.611
Si  0.000  0.000  0.000


# 6
Material: LiNdCuSi2
Method: DFT, PBE
State: optimized geometry

## Properties
space group: I-4m2, No. 119
crystal system: tetragonal
formation energy from raw total energies: -53.0 kJ/mol of atoms
density: 5.24 g/cm³

a b c (Å): 4.102 4.102 5.867
angles (deg): 110.46 110.46 90.00
Positions (direct):
Li  0.750  0.250  0.500
Nd  0.000  0.000  0.000
Cu  0.250  0.750  0.500
Si  0.617  0.617  0.234
Si  0.383  0.383  0.766


# 7
Material: LiNdCuSi
Method: DFT, PBE
State: optimized geometry

## Properties
space group: F-43m, No. 216
crystal system: cubic
formation energy from raw total energies: -27.1 kJ/mol of atoms
density: 5.86 g/cm³

a b c (Å): 4.600 4.600 4.600
angles (deg): 60.00 60.00 60.00
Positions (direct):
Si  0.750  0.750  0.750
Nd  0.250  0.250  0.250
Cu  0.500  0.500  0.500
Li  0.000  0.000  0.000


# 8
Material: LiNd2Cu3Sn4
Method: DFT, PBE
State: optimized geometry

## Properties
uncorrected energy: -4.425 eV/atom
space group: P-4m2, No. 115
crystal system: tetragonal
density: 7.38 g/cm³

a b c (Å): 4.452 4.452 10.900
angles (deg): 90.00 90.00 90.00
Positions (direct):
Li  0.500  0.500  0.500
Nd  0.500  0.000  0.254
Nd  0.000  0.500  0.746
Cu  0.000  0.000  0.500
Cu  0.500  0.000  0.864
Cu  0.000  0.500  0.136
Sn  0.500  0.500  0.000
Sn  0.000  0.000  0.000
Sn  0.500  0.000  0.631
Sn  0.000  0.500  0.369